Record 1
The following is a DFT calculation (SCAN) of a PBEsol-optimized structure of SrInC3.

```
5
Lattice="4.3708 0.0000 0.0000 0.0000 4.3708 0.0000 0.0000 0.0000 4.3708" Properties=species:S:1:pos:R:3 pbc="T T T"
Sr 0.0000 0.0000 0.0000
In 2.1854 2.1854 2.1854
C 0.0000 2.1854 2.1854
C 2.1854 0.0000 2.1854
C 2.1854 2.1854 0.0000
```

Computed properties:
Formation energy, eV per atom: 2.2133

Record 2
The following is a DFT calculation (SCAN) of a PBEsol-optimized structure of Ta2InC.

```
8
Lattice="3.1387 0.0000 0.0000 -1.5694 2.7182 0.0000 0.0000 0.0000 14.3383" Properties=species:S:1:pos:R:3 pbc="T T T"
Ta 0.0000 1.8121 1.1954
Ta 0.0000 1.8121 5.9737
Ta 1.5694 0.9061 8.3646
Ta 1.5694 0.9061 13.1429
In 0.0000 1.8121 10.7537
In 1.5694 0.9061 3.5846
C 0.0000 0.0000 0.0000
C 0.0000 0.0000 7.1691
```

Computed properties:
Formation energy, eV per atom: -0.4053

Record 3
The following is a DFT calculation (SCAN) of a PBEsol-optimized structure of InTe2C2.

```
10
Lattice="7.7673 0.0000 0.0000 0.0000 7.7673 0.0000 0.0000 0.0000 3.2863" Properties=species:S:1:pos:R:3 pbc="T T T"
In 0.0000 0.0000 0.0000
In 3.8836 3.8836 0.0000
Te 1.2148 2.6688 1.6432
Te 2.6688 6.5525 1.6432
Te 5.0985 1.2148 1.6432
Te 6.5525 5.0985 1.6432
C 1.7131 5.5967 0.0000
C 2.1706 1.7131 0.0000
C 5.5967 6.0542 0.0000
C 6.0542 2.1706 0.0000
```

Computed properties:
Energy, eV per atom: -24.105

Record 4
The following is a DFT calculation (SCAN) of a PBEsol-optimized structure of InTe3C.

```
5
Lattice="4.8158 0.0000 0.0000 0.0000 4.8158 0.0000 0.0000 0.0000 4.8158" Properties=species:S:1:pos:R:3 pbc="T T T"
In 0.0000 0.0000 0.0000
Te 0.0000 2.4079 2.4079
Te 2.4079 0.0000 2.4079
Te 2.4079 2.4079 0.0000
C 2.4079 2.4079 2.4079
```

Computed properties:
Energy, eV per atom: -30.173

Record 5
The following is a DFT calculation (SCAN) of a PBEsol-optimized structure of Ti2InC.

```
8
Lattice="3.1094 0.0000 0.0000 -1.5547 2.6928 0.0000 0.0000 0.0000 14.0321" Properties=species:S:1:pos:R:3 pbc="T T T"
Ti 0.0000 1.7952 1.1056
Ti 0.0000 1.7952 5.9104
Ti 1.5547 0.8976 8.1217
Ti 1.5547 0.8976 12.9265
In 0.0000 1.7952 10.5241
In 1.5547 0.8976 3.5080
C 0.0000 0.0000 0.0000
C 0.0000 0.0000 7.0161
```

Computed properties:
Formation energy, eV per atom: -0.7923

Record 6
The following is a DFT calculation (SCAN) of a PBEsol-optimized structure of Ti3InC.

```
5
Lattice="4.2008 0.0000 0.0000 0.0000 4.2008 0.0000 0.0000 0.0000 4.2008" Properties=species:S:1:pos:R:3 pbc="T T T"
Ti 0.0000 0.0000 2.1004
Ti 0.0000 2.1004 0.0000
Ti 2.1004 0.0000 0.0000
In 2.1004 2.1004 2.1004
C 0.0000 0.0000 0.0000
```

Computed properties:
Formation energy, eV per atom: -0.6673

Record 7
The following is a DFT calculation (SCAN) of a PBEsol-optimized structure of InWC2.

```
8
Lattice="-2.4831 2.4831 4.7589 2.4831 -2.4831 4.7589 2.4831 2.4831 -4.7589" Properties=species:S:1:pos:R:3 pbc="T T T"
In 0.0000 0.0000 0.0000
In 0.0000 2.4831 2.3795
W 2.4831 0.0000 2.3795
W 0.0000 0.0000 4.7589
C 1.2415 -1.0060 3.5692
C 1.4771 1.2415 1.1897
C 1.2415 3.4891 -1.1897
C 1.0060 1.2415 5.9487
```

Computed properties:
Formation energy, eV per atom: 0.7597

Record 8
The following is a DFT calculation (SCAN) of a PBEsol-optimized structure of InW3C.

```
5
Lattice="4.1874 0.0000 0.0000 0.0000 4.1874 0.0000 0.0000 0.0000 4.1874" Properties=species:S:1:pos:R:3 pbc="T T T"
In 0.0000 0.0000 0.0000
W 0.0000 2.0937 2.0937
W 2.0937 0.0000 2.0937
W 2.0937 2.0937 0.0000
C 2.0937 2.0937 2.0937
```

Computed properties:
Formation energy, eV per atom: 0.5192

Record 9
The following is a DFT calculation (SCAN) of a PBEsol-optimized structure of ZnIn3C.

```
5
Lattice="4.6852 0.0000 0.0000 0.0000 4.6852 0.0000 0.0000 0.0000 4.6852" Properties=species:S:1:pos:R:3 pbc="T T T"
Zn 0.0000 0.0000 0.0000
In 0.0000 2.3426 2.3426
In 2.3426 0.0000 2.3426
In 2.3426 2.3426 0.0000
C 2.3426 2.3426 2.3426
```

Computed properties:
Formation energy, eV per atom: 0.9281

Record 10
The following is a DFT calculation (SCAN) of a PBEsol-optimized structure of IrC5.

```
6
Lattice="3.4159 -1.3445 0.0000 3.4159 1.3445 0.0000 -0.1861 0.0000 5.4735" Properties=species:S:1:pos:R:3 pbc="T T T"
Ir 0.0000 0.0000 0.0000
C 1.6860 0.0000 4.6826
C 2.6538 0.0000 3.7830
C 2.7888 0.0000 2.3261
C 4.0824 0.0000 1.4509
C 5.5412 0.0000 1.7339
```

Computed properties:
Formation energy, eV per atom: 0.9367

Record 11
The following is a DFT calculation (SCAN) of a PBEsol-optimized structure of Ir4C3.

```
7
Lattice="4.2683 0.0000 0.0000 0.0000 4.2683 0.0000 0.0000 0.0000 4.2683" Properties=species:S:1:pos:R:3 pbc="T T T"
Ir 0.0000 0.0000 0.0000
Ir 0.0000 2.1341 2.1341
Ir 2.1341 0.0000 2.1341
Ir 2.1341 2.1341 0.0000
C 0.0000 0.0000 2.1341
C 0.0000 2.1341 0.0000
C 2.1341 0.0000 0.0000
```

Computed properties:
Formation energy, eV per atom: 1.2593

Record 12
The following is a DFT calculation (SCAN) of a PBEsol-optimized structure of Ir3C.

```
4
Lattice="3.8833 0.0000 0.0000 0.0000 2.7202 0.0000 -1.5546 0.0000 4.7951" Properties=species:S:1:pos:R:3 pbc="T T T"
Ir 0.0000 0.0000 0.0000
Ir 0.3443 1.3601 3.4426
Ir 1.9844 1.3601 1.3524
C -0.7773 0.0000 2.3975
```

Computed properties:
Formation energy, eV per atom: 0.6896

Record 13
The following is a DFT calculation (SCAN) of a PBEsol-optimized structure of IrC5.

```
6
Lattice="3.1595 0.0000 0.0000 0.0000 3.1595 0.0000 0.0000 0.0000 5.2478" Properties=species:S:1:pos:R:3 pbc="T T T"
Ir 0.0000 0.0000 0.0000
C 0.0000 0.0000 1.9717
C 0.0000 0.0000 3.2761
C 1.5798 1.5798 1.2446
C 1.5798 1.5798 2.6239
C 1.5798 1.5798 4.0032
```

Computed properties:
Formation energy, eV per atom: 2.4882

Record 14
The following is a DFT calculation (SCAN) of a PBEsol-optimized structure of Ir3C.

```
8
Lattice="-1.9235 1.9235 7.4777 1.9235 -1.9235 7.4777 1.9235 1.9235 -7.4777" Properties=species:S:1:pos:R:3 pbc="T T T"
Ir 1.9235 0.0000 0.0000
Ir 0.0000 0.0000 2.0261
Ir 1.9235 0.0000 3.7388
Ir 0.0000 1.9235 0.0000
Ir 0.0000 1.9235 3.7388
Ir 0.0000 0.0000 12.9293
C 0.0000 0.0000 6.6724
C 0.0000 0.0000 8.2830
```

Computed properties:
Formation energy, eV per atom: 1.2296

Record 15
The following is a DFT calculation (SCAN) of a PBEsol-optimized structure of Ir4C3.

```
7
Lattice="4.0261 0.0000 0.0000 -2.0130 3.4867 0.0000 0.0000 0.0000 5.8619" Properties=species:S:1:pos:R:3 pbc="T T T"
Ir 0.0000 0.0000 1.3076
Ir 0.0000 0.0000 4.5542
Ir 0.0000 2.3245 2.9309
Ir 2.0130 1.1622 2.9309
C -1.0065 1.7433 0.0000
C 2.0130 0.0000 0.0000
C 1.0065 1.7433 0.0000
```

Computed properties:
Formation energy, eV per atom: 2.1975

Record 16
The following is a DFT calculation (SCAN) of a PBEsol-optimized structure of KIrC2.

```
8
Lattice="-2.7650 2.7650 5.0988 2.7650 -2.7650 5.0988 2.7650 2.7650 -5.0988" Properties=species:S:1:pos:R:3 pbc="T T T"
K 2.7650 1.3825 1.2747
K 0.0000 1.3825 3.8241
Ir 2.7650 -1.3825 3.8241
Ir 0.0000 4.1475 1.2747
C 0.0000 0.0000 0.0000
C 1.3825 1.3825 -2.5494
C 1.3825 -1.3825 2.5494
C 0.0000 2.7650 0.0000
```

Computed properties:
Formation energy, eV per atom: 0.6313

Record 17
The following is a DFT calculation (SCAN) of a PBEsol-optimized structure of KIrOsC2.

```
5
Lattice="4.0280 0.0000 0.0000 0.0000 4.0280 0.0000 0.0000 0.0000 4.7464" Properties=species:S:1:pos:R:3 pbc="T T T"
K 0.0000 0.0000 0.0000
Ir 0.0000 0.0000 2.3732
Os 2.0140 2.0140 2.3732
C 0.0000 2.0140 0.0000
C 2.0140 0.0000 0.0000
```

Computed properties:
Formation energy, eV per atom: 4.6949

Record 18
The following is a DFT calculation (SCAN) of a PBEsol-optimized structure of La2IrC.

```
8
Lattice="-3.4744 3.4744 3.7647 3.4744 -3.4744 3.7647 3.4744 3.4744 -3.7647" Properties=species:S:1:pos:R:3 pbc="T T T"
La 5.2116 1.4913 -0.9412
La 1.4913 1.7372 0.9412
La -1.7372 1.9830 2.8235
La 1.9830 1.7372 4.7058
Ir 3.4744 0.0000 1.8823
Ir 0.0000 0.0000 3.7647
C 0.0000 0.0000 0.0000
C 0.0000 3.4744 1.8823
```

Computed properties:
Formation energy, eV per atom: 0.0261

Record 19
The following is a DFT calculation (SCAN) of a PBEsol-optimized structure of Sr2LaIrC.

```
5
Lattice="5.1898 0.0000 0.0000 0.0000 5.1898 0.0000 0.0000 0.0000 4.7031" Properties=species:S:1:pos:R:3 pbc="T T T"
Sr 0.0000 2.5949 0.0000
Sr 2.5949 0.0000 0.0000
La 0.0000 0.0000 2.3516
Ir 2.5949 2.5949 2.3516
C 0.0000 0.0000 0.0000
```

Computed properties:
Formation energy, eV per atom: 0.2717

Record 20
The following is a DFT calculation (SCAN) of a PBEsol-optimized structure of LiIrCO2.

```
5
Lattice="3.3799 0.0000 0.0000 0.0000 3.3799 0.0000 0.0000 0.0000 3.7491" Properties=species:S:1:pos:R:3 pbc="T T T"
Li 0.0000 0.0000 0.0000
Ir 1.6900 1.6900 1.8746
C 0.0000 0.0000 1.8746
O 0.0000 1.6900 0.0000
O 1.6900 0.0000 0.0000
```

Computed properties:
Energy, eV per atom: -17.929